CoNi3H6 after structural relaxation. Source: Alexandria via LeMat-Bulk, functional GGA-PBE. Values from VASP.

Structure (Quantum ESPRESSO input):
```
&SYSTEM
  ibrav = 0, nat = 20, ntyp = 3
/
ATOMIC_SPECIES
Co 58.93 Co.upf
Ni 58.69 Ni.upf
H 1.01 H.upf
CELL_PARAMETERS angstrom
-1.366 0.053 -2.253
1.478 -6.578 -1.052
-5.866 -0.100 3.555
ATOMIC_POSITIONS crystal
Co 0.750 0.066 0.688
Co 0.250 0.934 0.312
Ni 0.750 0.465 0.828
Ni 0.250 0.535 0.172
Ni 0.750 0.684 0.508
Ni 0.250 0.316 0.492
Ni 0.750 0.161 0.094
Ni 0.250 0.839 0.906
H 0.750 0.469 0.589
H 0.250 0.531 0.411
H 0.750 0.914 0.112
H 0.250 0.086 0.888
H 0.750 0.395 0.055
H 0.250 0.605 0.945
H 0.750 0.731 0.272
H 0.250 0.269 0.728
H 0.750 0.089 0.445
H 0.250 0.911 0.555
H 0.750 0.825 0.750
H 0.250 0.175 0.250
```

Summary:
Raw total energy, eV for the cell shown: -88.4
Total magnetization, μB per atom: 0.0153
Crystal system: monoclinic